# 1
DFT (GGA-PBE) results for a geometry-optimized LaAsBr2 structure.

The value obtained for the calculated total energy is -16.68 eV per formula unit. The distance to the lowest polymorph of the same formula comes out at 0.329 eV/atom. Its crystal system is orthorhombic.

The structure belongs to space group Pmmm (No. 47); the cell edges are 4.174, 4.729 and 5.248 Å and the angles 90.00°, 90.00° and 90.00°. The asymmetric unit holds La at (0.000, 0.000, 0.000), As at (0.500, 0.000, 0.500), Br at (0.000, 0.500, 0.500) and Br at (0.500, 0.500, 0.000).


# 2
DFT (GGA-PBE) results for a geometry-optimized CaSi2Pt structure.

The value obtained for the calculated total energy is -20.88 eV per formula unit. Its crystal system is orthorhombic.

The structure belongs to space group Amm2 (No. 38); the cell edges are 4.244, 6.224 and 6.743 Å and the angles 90.00°, 90.00° and 90.00°. The asymmetric unit holds Ca at (0.000, 0.000, 0.000), Si at (0.500, 0.178, 0.682) and Pt at (0.500, 0.000, 0.358).


# 3
DFT (GGA-PBE) results for a geometry-optimized SrLiHo2S4 structure.

The value obtained for the calculated total energy is -44.78 eV per formula unit. Its crystal system is orthorhombic.

The structure belongs to space group Cmcm (No. 63); the cell edges are 3.951, 13.106 and 13.595 Å and the angles 90.00°, 90.00° and 90.00°. The asymmetric unit holds Sr at (0.000, 0.117, 0.250), Li at (0.000, 0.154, 0.750), Ho at (0.000, 0.372, 0.056), S at (0.000, 0.000, 0.000), S at (0.000, 0.269, 0.617) and S at (0.000, 0.444, 0.250).